DFT (GGA-PBEsol) results for a geometry-optimized La2MnRu structure.

a b c (Å): 3.879 4.985 5.549
angles (deg): 116.69 110.46 90.00
Atoms (fractional coordinates):
La 0.975 0.975 0.951
La 0.780 0.280 0.560
Mn 0.565 0.565 0.129
Ru 0.180 0.680 0.360

Results
SG: No. 44
Spin magnetization (μB per cell): 0.7
DFT total energy (Ry per atom): -0.54839
Formation energy from the elements (eV per atom): 0.195